[1]
! PBE YHf2Re, relaxed; values from VASP
! Space group: I-42d
! Energy relative to the elements, meV per atom: 387.0
! Density of states at the Fermi level, states/eV/atom: 1.7332
&SYSTEM
  ibrav = 0, nat = 8, ntyp = 3
/
ATOMIC_SPECIES
Y 88.91 Y.upf
Re 186.21 Re.upf
Hf 178.49 Hf.upf
CELL_PARAMETERS angstrom
-0.949 -7.859 1.286
5.931 -1.561 -5.167
4.477 -4.583 0.301
ATOMIC_POSITIONS crystal
Y 0.500 0.500 0.000
Y 0.250 0.750 0.500
Re 0.000 0.000 0.000
Re 0.750 0.250 0.500
Hf 0.689 0.125 0.250
Hf 0.061 0.625 0.250
Hf 0.375 0.311 0.750
Hf 0.875 0.939 0.750

[2]
! PBE Hf2ZnRe2, relaxed; values from VASP
! Space group: P4/mbm
! Energy relative to the elements, meV per atom: 24.1
! Density of states at the Fermi level, states/eV/atom: 0.5646
&SYSTEM
  ibrav = 0, nat = 10, ntyp = 3
/
ATOMIC_SPECIES
Re 186.21 Re.upf
Zn 65.41 Zn.upf
Hf 178.49 Hf.upf
CELL_PARAMETERS angstrom
6.612 0.000 0.000
0.000 6.612 0.000
0.000 0.000 4.238
ATOMIC_POSITIONS crystal
Re 0.372 0.872 0.000
Re 0.872 0.628 0.000
Re 0.628 0.128 0.000
Re 0.128 0.372 0.000
Zn 0.000 0.000 0.000
Zn 0.500 0.500 0.000
Hf 0.176 0.676 0.500
Hf 0.676 0.824 0.500
Hf 0.824 0.324 0.500
Hf 0.324 0.176 0.500

[3]
! PBE HfZn11Re, relaxed; values from VASP
! Space group: C2/m
! Energy relative to the elements, meV per atom: 13.1
! Density of states at the Fermi level, states/eV/atom: 0.3723
&SYSTEM
  ibrav = 0, nat = 13, ntyp = 3
/
ATOMIC_SPECIES
Hf 178.49 Hf.upf
Zn 65.41 Zn.upf
Re 186.21 Re.upf
CELL_PARAMETERS angstrom
-2.804 -4.074 1.662
3.321 -5.659 0.945
-0.241 -0.329 6.975
ATOMIC_POSITIONS crystal
Hf 0.000 0.000 0.000
Zn 0.289 0.211 0.214
Zn 0.711 0.789 0.786
Zn 0.497 0.789 0.214
Zn 0.503 0.211 0.786
Zn 0.366 0.646 0.657
Zn 0.634 0.354 0.343
Zn 0.976 0.354 0.657
Zn 0.024 0.646 0.343
Zn 0.000 0.500 0.000
Zn 0.500 0.000 0.500
Zn 0.000 0.000 0.500
Re 0.500 0.500 0.000

[4]
! PBE Hf6ZnRe, relaxed; values from VASP
! Space group: I4/mmm
! Energy relative to the elements, meV per atom: -140.1
! Density of states at the Fermi level, states/eV/atom: 0.7860
&SYSTEM
  ibrav = 0, nat = 8, ntyp = 3
/
ATOMIC_SPECIES
Hf 178.49 Hf.upf
Zn 65.41 Zn.upf
Re 186.21 Re.upf
CELL_PARAMETERS angstrom
4.392 0.000 1.322
-0.398 4.373 1.323
-0.100 -0.111 8.287
ATOMIC_POSITIONS crystal
Hf 0.750 0.750 0.500
Hf 0.611 0.111 0.778
Hf 0.111 0.611 0.778
Hf 0.389 0.889 0.222
Hf 0.250 0.250 0.500
Hf 0.889 0.389 0.222
Zn 0.000 0.000 0.000
Re 0.500 0.500 0.000

[5]
! PBE HfZn2Re2, relaxed; values from VASP
! Space group: I4/mmm
! Energy relative to the elements, meV per atom: 389.5
! Density of states at the Fermi level, states/eV/atom: 0.9650
&SYSTEM
  ibrav = 0, nat = 5, ntyp = 3
/
ATOMIC_SPECIES
Re 186.21 Re.upf
Zn 65.41 Zn.upf
Hf 178.49 Hf.upf
CELL_PARAMETERS angstrom
-1.542 0.703 -3.183
2.953 -1.190 -1.693
-1.822 -6.341 -2.561
ATOMIC_POSITIONS crystal
Re 0.406 0.406 0.188
Re 0.594 0.594 0.812
Zn 0.750 0.250 0.500
Zn 0.250 0.750 0.500
Hf 0.000 0.000 0.000

[6]
! PBE HfZnRe2, relaxed; values from VASP
! Space group: I-42d
! Energy relative to the elements, meV per atom: 743.7
! Density of states at the Fermi level, states/eV/atom: 1.2861
&SYSTEM
  ibrav = 0, nat = 8, ntyp = 3
/
ATOMIC_SPECIES
Re 186.21 Re.upf
Zn 65.41 Zn.upf
Hf 178.49 Hf.upf
CELL_PARAMETERS angstrom
7.311 0.000 0.000
0.000 7.311 0.000
3.655 3.655 2.609
ATOMIC_POSITIONS crystal
Re 0.591 0.125 0.250
Re 0.159 0.625 0.250
Re 0.375 0.409 0.750
Re 0.875 0.841 0.750
Zn 0.500 0.500 0.000
Zn 0.250 0.750 0.500
Hf 0.000 0.000 0.000
Hf 0.750 0.250 0.500

[7]
! PBE Hf4Zn3Re, relaxed; values from VASP
! Space group: P4/mmm
! Energy relative to the elements, meV per atom: -284.4
! Density of states at the Fermi level, states/eV/atom: 0.4029
&SYSTEM
  ibrav = 0, nat = 8, ntyp = 3
/
ATOMIC_SPECIES
Re 186.21 Re.upf
Zn 65.41 Zn.upf
Hf 178.49 Hf.upf
CELL_PARAMETERS angstrom
-2.586 -2.018 -0.555
1.270 -2.213 2.134
-6.515 5.667 9.752
ATOMIC_POSITIONS crystal
Re 0.500 0.500 0.000
Zn 0.500 0.500 0.250
Zn 0.500 0.500 0.500
Zn 0.500 0.500 0.750
Hf 0.000 0.000 0.880
Hf 0.000 0.000 0.120
Hf 0.000 0.000 0.374
Hf 0.000 0.000 0.626

[8]
! PBE HfZrZnRe2, relaxed; values from VASP
! Space group: P4/mmm
! Energy relative to the elements, meV per atom: 1583.8
! Density of states at the Fermi level, states/eV/atom: 1.2781
&SYSTEM
  ibrav = 0, nat = 5, ntyp = 4
/
ATOMIC_SPECIES
Re 186.21 Re.upf
Zn 65.41 Zn.upf
Hf 178.49 Hf.upf
Zr 91.22 Zr.upf
CELL_PARAMETERS angstrom
-2.960 -3.706 -0.226
3.299 -2.757 2.015
-1.727 1.115 4.353
ATOMIC_POSITIONS crystal
Re 0.000 0.500 0.000
Re 0.500 0.000 0.000
Zn 0.000 0.000 0.500
Hf 0.000 0.000 0.000
Zr 0.500 0.500 0.500

[9]
! PBE HfZrZnRe, relaxed; values from VASP
! Space group: F-43m
! Energy relative to the elements, meV per atom: -266.7
! Density of states at the Fermi level, states/eV/atom: 0.6657
&SYSTEM
  ibrav = 0, nat = 4, ntyp = 4
/
ATOMIC_SPECIES
Re 186.21 Re.upf
Zn 65.41 Zn.upf
Hf 178.49 Hf.upf
Zr 91.22 Zr.upf
CELL_PARAMETERS angstrom
4.690 0.000 0.000
2.345 4.061 0.000
2.345 1.354 3.829
ATOMIC_POSITIONS crystal
Re 0.500 0.500 0.500
Zn 0.000 0.000 0.000
Hf 0.250 0.250 0.250
Zr 0.750 0.750 0.750

[10]
! PBE HfZrZnRe, relaxed; values from VASP
! Space group: P4mm
! Energy relative to the elements, meV per atom: -322.4
! Density of states at the Fermi level, states/eV/atom: 0.4931
&SYSTEM
  ibrav = 0, nat = 4, ntyp = 4
/
ATOMIC_SPECIES
Hf 178.49 Hf.upf
Zr 91.22 Zr.upf
Zn 65.41 Zn.upf
Re 186.21 Re.upf
CELL_PARAMETERS angstrom
-0.969 0.701 -3.120
-0.900 -3.188 -0.437
-6.007 1.398 2.181
ATOMIC_POSITIONS crystal
Hf 0.000 0.000 0.348
Zr 0.000 0.000 0.866
Zn 0.500 0.500 0.602
Re 0.500 0.500 0.111

[11]
! PBE HfZrRe, relaxed; values from VASP
! Space group: I4mm
! Energy relative to the elements, meV per atom: -174.0
! Density of states at the Fermi level, states/eV/atom: 1.4203
&SYSTEM
  ibrav = 0, nat = 3, ntyp = 3
/
ATOMIC_SPECIES
Re 186.21 Re.upf
Hf 178.49 Hf.upf
Zr 91.22 Zr.upf
CELL_PARAMETERS angstrom
3.330 0.000 0.000
0.000 3.330 0.000
-1.665 -1.665 5.272
ATOMIC_POSITIONS crystal
Re 0.669 0.669 0.338
Hf 0.314 0.314 0.629
Zr 0.017 0.017 0.033

[12]
! PBE HfZrRe2, relaxed; values from VASP
! Space group: P4/mmm
! Energy relative to the elements, meV per atom: -258.9
! Density of states at the Fermi level, states/eV/atom: 0.8319
&SYSTEM
  ibrav = 0, nat = 4, ntyp = 3
/
ATOMIC_SPECIES
Re 186.21 Re.upf
Hf 178.49 Hf.upf
Zr 91.22 Zr.upf
CELL_PARAMETERS angstrom
3.282 0.000 0.000
0.000 4.657 0.000
0.000 0.000 4.657
ATOMIC_POSITIONS crystal
Re 0.000 0.000 0.500
Re 0.000 0.500 0.000
Hf 0.500 0.000 0.000
Zr 0.500 0.500 0.500

Please write out number 4 again, unchanged.
! PBE Hf6ZnRe, relaxed; values from VASP
! Space group: I4/mmm
! Energy relative to the elements, meV per atom: -140.1
! Density of states at the Fermi level, states/eV/atom: 0.7860
&SYSTEM
  ibrav = 0, nat = 8, ntyp = 3
/
ATOMIC_SPECIES
Hf 178.49 Hf.upf
Zn 65.41 Zn.upf
Re 186.21 Re.upf
CELL_PARAMETERS angstrom
4.392 0.000 1.322
-0.398 4.373 1.323
-0.100 -0.111 8.287
ATOMIC_POSITIONS crystal
Hf 0.750 0.750 0.500
Hf 0.611 0.111 0.778
Hf 0.111 0.611 0.778
Hf 0.389 0.889 0.222
Hf 0.250 0.250 0.500
Hf 0.889 0.389 0.222
Zn 0.000 0.000 0.000
Re 0.500 0.500 0.000

Which formula does entry 7 have?
Hf4Zn3Re

Which value of density of states at the Fermi level does entry 1 give?
1.7332 states/eV/atom